# Zr2AlNi6

Zr2AlNi6 after structural relaxation (PBE-GGA, Alexandria).

Results
ρ, Mg/m³: 7.6
Total magnetization, μB per formula unit: 0.000
V, Å³ per atom: 13.69
VASP energy, Ha/atom: -0.243
Polymorph energy (0 for the lowest one), kJ per mole of atoms: 0.0
ΔE_f, eV/f.u.: -4.09

abc: 5.1019 5.1019 5.4647
angles: 90.00 90.00 120.00
Space group P-3m1 (No. 164)
Inequivalent atoms, fractional coordinates:
Zr 0.3333 0.6667 0.1607
Al 0.0000 0.0000 0.0000
Ni 0.1752 0.3504 0.6724